# 1
Compound: AgCSe2
Source: Alexandria via LeMat-Bulk
Functional: PBE
Structure: relaxed

## Properties
- Total energy: -15.67 eV per formula unit
- Uncorrected formation energy: 19.433 kcal/mol of atoms

a = 5.6161 Å, b = 5.6161 Å, c = 6.5635 Å
α = 64.67°, β = 64.67°, γ = 90.00°
With the nearest neighbours (Å) after each atom.
Positions (direct):
C1 0.2500 0.7500 0.5000  4 Se 2.14
Se1 0.2057 0.6250 0.2500  2 C 2.14
Se2 0.3750 0.4557 0.7500  2 C 2.14
C2 0.5000 0.5000 0.0000  4 Se 2.14
Ag1 0.7500 0.2500 0.5000  4 Se 2.67
Ag2 0.0000 0.0000 0.0000  4 Se 2.67
Se3 0.8750 0.7943 0.7500  2 C 2.14
Se4 0.5443 0.1250 0.2500  2 C 2.14



# 2
Compound: Ce2ClF4
Source: Alexandria via LeMat-Bulk
Functional: PBE
Structure: relaxed

## Properties
- Total energy: -44.98 eV per formula unit
- Uncorrected formation energy: -78.338 kcal/mol of atoms

a = 3.8010 Å, b = 7.8792 Å, c = 7.8792 Å
α = 90.00°, β = 90.00°, γ = 90.00°
With the nearest neighbours (Å) after each atom.
Positions (direct):
F1 0.0000 0.6881 0.9259  3 Ce 2.47-2.48, 1 F 2.65
Ce1 0.5000 0.7276 0.7276  6 F 2.47-2.48
F2 0.5000 0.4259 0.8119  3 Ce 2.47-2.48, 1 F 2.65
F3 0.5000 0.1881 0.5741  3 Ce 2.47-2.48, 1 F 2.65
Ce2 0.0000 0.7724 0.2276  6 F 2.47-2.48
F4 0.0000 0.9259 0.6881  3 Ce 2.47-2.48, 1 F 2.65
Cl1 0.5000 0.0000 0.0000  6 Ce 3.04-3.17, 8 F 3.16
F5 0.5000 0.5741 0.1881  3 Ce 2.47-2.48, 1 F 2.65
F6 0.0000 0.3119 0.0741  3 Ce 2.47-2.48, 1 F 2.65
F7 0.0000 0.0741 0.3119  3 Ce 2.47-2.48, 1 F 2.65
Cl2 0.0000 0.5000 0.5000  6 Ce 3.04-3.17, 8 F 3.16
F8 0.5000 0.8119 0.4259  3 Ce 2.47-2.48, 1 F 2.65
Ce3 0.0000 0.2276 0.7724  6 F 2.47-2.48
Ce4 0.5000 0.2724 0.2724  6 F 2.47-2.48



# 3
Compound: Li2CaP
Source: Alexandria via LeMat-Bulk
Functional: PBE
Structure: relaxed

## Properties
- Energy of formation: -0.48 eV per atom
- Total energy: -13.17 eV per formula unit

a = 4.5592 Å, b = 4.1359 Å, c = 4.1359 Å
α = 90.00°, β = 90.00°, γ = 90.00°
With the nearest neighbours (Å) after each atom.
Positions (direct):
Ca1 0.5000 0.0000 0.5000  4 P 2.92, 8 Li 3.08
P1 0.5000 0.5000 0.0000  4 Ca 2.92, 8 Li 3.08
Li1 0.0000 0.5000 0.5000  4 Li 2.92, 4 Ca 3.08, 4 P 3.08
Li2 0.0000 0.0000 0.0000  4 Li 2.92, 4 Ca 3.08, 4 P 3.08



# 4
Compound: Nd3SmAu3
Source: Alexandria via LeMat-Bulk
Functional: PBE
Structure: relaxed

## Properties
- Energy of formation: -0.59 eV per atom
- Total energy: -32.97 eV per formula unit

a = 7.3709 Å, b = 7.3709 Å, c = 7.4097 Å
α = 90.89°, β = 90.89°, γ = 96.82°
With the nearest neighbours (Å) after each atom.
Positions (direct):
Au1 0.9338 0.9338 0.1875  2 Sm 2.97-3.19, 5 Nd 3.09-3.21, 1 Au 3.09
Nd1 0.8227 0.1773 0.5000  6 Au 2.99-3.15
Sm1 0.7437 0.7437 0.8695  4 Au 2.91-3.19
Nd2 0.1773 0.8227 0.5000  6 Au 2.99-3.15
Au2 0.4961 0.9886 0.7265  1 Sm 2.91, 5 Nd 2.99-3.20
Au3 0.9886 0.4961 0.7265  1 Sm 2.91, 5 Nd 2.99-3.20
Au4 0.5039 0.0114 0.2735  1 Sm 2.91, 5 Nd 2.99-3.20
Au5 0.0114 0.5039 0.2735  1 Sm 2.91, 5 Nd 2.99-3.20
Nd3 0.6468 0.6468 0.3676  3 Au 3.09-3.14
Sm2 0.2563 0.2563 0.1305  4 Au 2.91-3.19
Au6 0.0662 0.0662 0.8125  2 Sm 2.97-3.19, 5 Nd 3.09-3.21, 1 Au 3.09
Nd4 0.2549 0.7451 0.0000  6 Au 3.16-3.21
Nd5 0.7451 0.2549 0.0000  6 Au 3.16-3.21
Nd6 0.3532 0.3532 0.6324  3 Au 3.09-3.14



# 5
Compound: YCd4Ru
Source: Alexandria via LeMat-Bulk
Functional: PBE
Structure: relaxed

## Properties
- Energy of formation: 0.04 eV per atom
- Total energy: -19.17 eV per formula unit

a = 5.6075 Å, b = 5.6075 Å, c = 5.6075 Å
α = 60.00°, β = 60.00°, γ = 60.00°
With the nearest neighbours (Å) after each atom.
Positions (direct):
Cd1 0.3759 0.3759 0.8724  6 Cd 2.78-2.82
Ru1 0.7500 0.7500 0.7500  12 Cd 3.29, 4 Y 3.43
Y1 0.0000 0.0000 0.0000  12 Cd 3.29, 4 Ru 3.43
Cd2 0.8724 0.3759 0.3759  6 Cd 2.78-2.82
Cd3 0.3759 0.8724 0.3759  6 Cd 2.78-2.82
Cd4 0.3759 0.3759 0.3759  6 Cd 2.78-2.82



# 6
Compound: Y2MgP
Source: Alexandria via LeMat-Bulk
Functional: PBE
Structure: relaxed

## Properties
- Energy of formation: -0.39 eV per atom
- Energy above the most stable polymorph in this dataset: 0.3863 eV per atom
- Total energy: -21.50 eV per formula unit

a = 5.4704 Å, b = 5.4704 Å, c = 5.4704 Å
α = 130.48°, β = 130.48°, γ = 72.64°
With the nearest neighbours (Å) after each atom.
Positions (direct):
Y1 0.0000 0.0000 0.0000  4 P 3.18, 4 Mg 3.18, 4 Y 3.24
P1 0.7500 0.2500 0.5000  8 Y 3.18, 4 Mg 3.24
Mg1 0.2500 0.7500 0.5000  8 Y 3.18, 4 P 3.24
Y2 0.5000 0.5000 0.0000  4 Mg 3.18, 4 P 3.18, 4 Y 3.24



no.,density (g cm⁻³)
1,5.60
2,5.51
3,1.81
4,9.76
5,8.52
6,4.18